TaGa: optimized geometry, PBE-GGA.

Cell lengths 2.9484, 2.9484, 4.5574 Å; angles 90.00, 90.00, 120.00 degrees
Element x y z (fractional)
Ga 0.6667 0.3333 0.7500
Ta 0.3333 0.6667 0.2500

Properties
Space group ... P-6m2 (187)
Total energy ... -7.591 eV per atom